MgSb2TeI: optimized geometry, PBE-GGA.

```
data_MgSb2TeI
_symmetry_space_group_name_H-M 'P 4/m m m'
_symmetry_Int_Tables_number 123
_symmetry_space_group_name_Hall '-P 4 2'
_cell_length_a 5.600
_cell_length_b 5.600
_cell_length_c 5.266
_cell_angle_alpha 90.00
_cell_angle_beta 90.00
_cell_angle_gamma 90.00
loop_
_atom_site_label
_atom_site_type_symbol
_atom_site_fract_x
_atom_site_fract_y
_atom_site_fract_z
_atom_site_occupancy
Mg1 Mg 0.000 0.000 0.000 1
Sb1 Sb 0.000 0.500 0.000 1
Te1 Te 0.500 0.500 0.500 1
I1 I 0.000 0.000 0.500 1
```

Results
The total energy comes out at -2.54 eV per atom. As for the calculated volume: 33.0 A^3/atom. The spin magnetization comes out at 0.0 μB per cell. As for the offset from the most stable computed form: 0 meV/atom. Its uncorrected formation energy is 0.3654 eV per atom.